VASP calculation (GGA+U) on a relaxed structure of Sc3WO7.

Geometry as POSCAR:
```
Sc3WO7
1.0
3.634 -5.054 0.000
3.634 5.054 0.000
0.000 0.000 7.108
Sc W O
6 2 14
Direct
0.033 0.507 0.256 Sc
0.039 0.039 0.000 Sc
0.493 0.967 0.244 Sc
0.507 0.033 0.744 Sc
0.961 0.961 0.500 Sc
0.967 0.493 0.756 Sc
0.497 0.497 0.500 W
0.503 0.503 0.000 W
0.130 0.870 0.750 O
0.140 0.860 0.250 O
0.164 0.411 0.968 O
0.176 0.441 0.542 O
0.410 0.590 0.250 O
0.411 0.164 0.032 O
0.441 0.176 0.458 O
0.559 0.824 0.958 O
0.589 0.836 0.532 O
0.590 0.410 0.750 O
0.824 0.559 0.042 O
0.836 0.589 0.468 O
0.860 0.140 0.750 O
0.870 0.130 0.250 O
```

Output
* total moment: 1.0 μB/f.u.
* N(E_F): 0.000 states/eV per atom
* final energy: -8.54 eV per atom
* crystal system: orthorhombic